Density functional theory data (PBE+U) for Li8MnO4F2 after structural relaxation. Values from VASP.

Cell and atoms, written as Quantum ESPRESSO input:
```
&SYSTEM
  ibrav = 0, nat = 15, ntyp = 4
/
ATOMIC_SPECIES
Li 6.94 Li.upf
O 16.00 O.upf
Mn 54.94 Mn.upf
F 19.00 F.upf
ATOMIC_POSITIONS crystal
Li 0.889 0.212 0.357
Li 0.411 0.275 0.006
Li 0.484 0.109 0.629
Li 0.246 0.535 0.341
Li 0.111 0.788 0.643
Li 0.516 0.891 0.371
Li 0.754 0.465 0.659
Li 0.589 0.725 0.994
O 0.756 0.078 0.761
O 0.244 0.922 0.239
O 0.399 0.760 0.758
O 0.601 0.240 0.242
Mn 0.000 0.000 0.000
F 0.899 0.579 0.290
F 0.101 0.421 0.710
CELL_PARAMETERS angstrom
5.542 -0.032 0.061
2.710 4.799 0.028
2.659 1.563 5.335
```

Summary:
Uncorrected energy, eV per atom: -5.124
Space group: P-1
Mass density, g/cm³: 2.49